## A
Computed, not measured: MnVN2F after structural relaxation at the GGA+U level of DFT.

Structure (extended XYZ):
```
5
Lattice="3.8753 0.0000 0.0000 0.0000 3.8753 0.0000 0.0000 0.0000 3.8160" Properties=species:S:1:pos:R:3 pbc="T T T"
Mn 0.0000 0.0000 0.0000
V 1.9377 1.9377 1.9080
N 0.0000 1.9377 0.0000
N 1.9377 0.0000 0.0000
F 0.0000 0.0000 1.9080
```

Values from the calculation:
**Fermi-level density of states**: 1.12 states/eV/cell
**Symmetry**: P4/mmm, No. 123
**V**: 11.462 Å³/atom

=====

## B
Computed, not measured: MnVN2F after structural relaxation at the GGA+U level of DFT.

Structure (extended XYZ):
```
5
Lattice="3.8605 0.0000 0.0000 0.0000 3.8605 0.0000 0.0000 0.0000 3.8900" Properties=species:S:1:pos:R:3 pbc="T T T"
Mn 0.0000 0.0000 0.0000
V 1.9302 1.9302 1.9450
N 0.0000 1.9302 1.9450
N 1.9302 0.0000 1.9450
F 1.9302 1.9302 0.0000
```

Values from the calculation:
**Fermi-level density of states**: 1.95 states/eV/cell
**Symmetry**: P4/mmm, No. 123
**V**: 11.595 Å³/atom

=====

## C
Computed, not measured: MnVN2F after structural relaxation at the GGA+U level of DFT.

Structure (extended XYZ):
```
5
Lattice="3.5470 0.0000 0.0000 0.0000 3.5470 0.0000 0.0000 0.0000 5.4947" Properties=species:S:1:pos:R:3 pbc="T T T"
Mn 0.0000 0.0000 0.0000
V 0.0000 0.0000 2.7474
N 0.0000 1.7735 0.0000
N 1.7735 0.0000 0.0000
F 1.7735 1.7735 2.7474
```

Values from the calculation:
**Fermi-level density of states**: 1.06 states/eV/cell
**Symmetry**: P4/mmm, No. 123
**V**: 13.826 Å³/atom

=====

The least stable of them is C.

=====

## A
Computed, not measured: MnVNF2 after structural relaxation at the GGA+U level of DFT.

Structure (extended XYZ):
```
5
Lattice="4.7021 0.0000 0.0000 0.0000 4.7021 0.0000 0.0000 0.0000 3.5704" Properties=species:S:1:pos:R:3 pbc="T T T"
Mn 0.0000 0.0000 0.0000
V 2.3511 2.3511 0.0000
N 0.0000 0.0000 1.7852
F 0.0000 2.3511 1.7852
F 2.3511 0.0000 1.7852
```

Values from the calculation:
**Fermi-level density of states**: 3.02 states/eV/cell
**Symmetry**: P4/mmm, No. 123
**V**: 15.788 Å³/atom

=====

## B
Computed, not measured: MnVNF2 after structural relaxation at the GGA+U level of DFT.

Structure (extended XYZ):
```
5
Lattice="3.9454 0.0000 0.0000 0.0000 3.9454 0.0000 0.0000 0.0000 4.0862" Properties=species:S:1:pos:R:3 pbc="T T T"
Mn 0.0000 0.0000 0.0000
V 1.9727 1.9727 2.0431
N 0.0000 0.0000 2.0431
F 0.0000 1.9727 0.0000
F 1.9727 0.0000 0.0000
```

Values from the calculation:
**Fermi-level density of states**: 1.09 states/eV/cell
**Symmetry**: P4/mmm, No. 123
**V**: 12.721 Å³/atom

=====

## C
Computed, not measured: MnVNF2 after structural relaxation at the GGA+U level of DFT.

Structure (extended XYZ):
```
5
Lattice="3.9893 0.0000 0.0000 0.0000 3.9893 0.0000 0.0000 0.0000 3.9937" Properties=species:S:1:pos:R:3 pbc="T T T"
Mn 0.0000 0.0000 0.0000
V 1.9946 1.9946 1.9968
N 1.9946 1.9946 0.0000
F 0.0000 1.9946 1.9968
F 1.9946 0.0000 1.9968
```

Values from the calculation:
**Fermi-level density of states**: 1.68 states/eV/cell
**Symmetry**: P4/mmm, No. 123
**V**: 12.711 Å³/atom

=====

The least stable of them is A.

=====

## A
Computed, not measured: MnWNF2 after structural relaxation at the GGA+U level of DFT.

Structure (extended XYZ):
```
5
Lattice="3.8297 0.0000 0.0000 0.0000 3.8297 0.0000 0.0000 0.0000 4.5604" Properties=species:S:1:pos:R:3 pbc="T T T"
Mn 0.0000 0.0000 0.0000
W 1.9149 1.9149 2.2802
N 0.0000 0.0000 2.2802
F 0.0000 1.9149 0.0000
F 1.9149 0.0000 0.0000
```

Values from the calculation:
**Fermi-level density of states**: 1.06 states/eV/cell
**Symmetry**: P4/mmm, No. 123
**V**: 13.377 Å³/atom

=====

## B
Computed, not measured: MnWNF2 after structural relaxation at the GGA+U level of DFT.

Structure (extended XYZ):
```
5
Lattice="4.2931 0.0000 0.0000 0.0000 4.2931 0.0000 0.0000 0.0000 4.0792" Properties=species:S:1:pos:R:3 pbc="T T T"
Mn 0.0000 0.0000 0.0000
W 2.1465 2.1465 2.0396
N 2.1465 2.1465 0.0000
F 0.0000 2.1465 2.0396
F 2.1465 0.0000 2.0396
```

Values from the calculation:
**Fermi-level density of states**: 0.62 states/eV/cell
**Symmetry**: P4/mmm, No. 123
**V**: 15.036 Å³/atom

=====

The least stable of them is A.

=====

## A
Computed, not measured: YMnN2F after structural relaxation at the GGA+U level of DFT.

Structure (extended XYZ):
```
5
Lattice="3.9271 0.0000 0.0000 0.0000 3.9271 0.0000 0.0000 0.0000 3.8789" Properties=species:S:1:pos:R:3 pbc="T T T"
Y 0.0000 0.0000 0.0000
Mn 1.9636 1.9636 1.9394
N 0.0000 1.9636 1.9394
N 1.9636 0.0000 1.9394
F 1.9636 1.9636 0.0000
```

Values from the calculation:
**Fermi-level density of states**: 1.44 states/eV/cell
**Symmetry**: P4/mmm, No. 123
**V**: 11.964 Å³/atom

=====

## B
Computed, not measured: YMnN2F after structural relaxation at the GGA+U level of DFT.

Structure (extended XYZ):
```
5
Lattice="4.4497 0.0000 0.0000 0.0000 4.4497 0.0000 0.0000 0.0000 4.2576" Properties=species:S:1:pos:R:3 pbc="T T T"
Y 0.0000 0.0000 0.0000
Mn 2.2249 2.2249 2.1288
N 0.0000 2.2249 0.0000
N 2.2249 0.0000 0.0000
F 0.0000 0.0000 2.1288
```

Values from the calculation:
**Fermi-level density of states**: 3.55 states/eV/cell
**Symmetry**: P4/mmm, No. 123
**V**: 16.860 Å³/atom

=====

The least stable of them is B.

=====

## A
Computed, not measured: ZrMnNF2 after structural relaxation at the GGA+U level of DFT.

Structure (extended XYZ):
```
5
Lattice="3.8775 0.0000 0.0000 0.0000 3.8775 0.0000 0.0000 0.0000 4.4326" Properties=species:S:1:pos:R:3 pbc="T T T"
Zr 0.0000 0.0000 0.0000
Mn 1.9388 1.9388 2.2163
N 1.9388 1.9388 0.0000
F 0.0000 1.9388 2.2163
F 1.9388 0.0000 2.2163
```

Values from the calculation:
**Fermi-level density of states**: 1.49 states/eV/cell
**Symmetry**: P4/mmm, No. 123
**V**: 13.329 Å³/atom

=====

## B
Computed, not measured: ZrMnNF2 after structural relaxation at the GGA+U level of DFT.

Structure (extended XYZ):
```
5
Lattice="4.2987 0.0000 0.0000 0.0000 4.2987 0.0000 0.0000 0.0000 4.2449" Properties=species:S:1:pos:R:3 pbc="T T T"
Zr 0.0000 0.0000 0.0000
Mn 2.1494 2.1494 2.1224
N 0.0000 0.0000 2.1224
F 0.0000 2.1494 0.0000
F 2.1494 0.0000 0.0000
```

Values from the calculation:
**Fermi-level density of states**: 0.89 states/eV/cell
**Symmetry**: P4/mmm, No. 123
**V**: 15.688 Å³/atom

=====

The least stable of them is A.

=====

## A
Computed, not measured: Na5Mn3F14 after structural relaxation at the GGA+U level of DFT.

Structure (extended XYZ):
```
88
Lattice="12.6247 0.0000 0.0000 0.0000 7.5457 0.0000 0.0000 0.0000 12.2758" Properties=species:S:1:pos:R:3 pbc="T T T"
Na 0.2691 0.2563 0.4827
Na 0.9694 6.0118 3.1388
Na 1.0109 2.4331 3.2272
Na 2.8921 5.5620 0.0000
Na 2.9904 5.4612 6.1729
Na 3.3220 1.6884 0.0350
Na 3.4203 1.7891 6.1379
Na 5.3015 6.2060 9.3651
Na 5.3430 2.2390 9.2767
Na 6.0432 4.0292 6.6206
Na 6.5815 3.5166 0.4827
Na 7.2818 5.3068 3.1388
Na 7.3233 1.3398 3.2272
Na 9.2045 5.7566 0.0000
Na 9.3027 5.8574 6.1729
Na 9.6344 2.0845 0.0350
Na 9.7326 1.9837 6.1379
Na 11.6138 5.1126 9.3651
Na 11.6553 1.5339 9.2767
Na 12.3556 7.2894 6.6206
Mn 0.0246 3.8124 6.1778
Mn 2.0787 0.0176 9.1881
Mn 2.3710 3.7872 9.1963
Mn 3.9414 0.0144 3.0584
Mn 4.2337 3.7905 3.0502
Mn 6.2878 0.0395 0.0399
Mn 6.3370 7.5062 6.1778
Mn 8.3910 3.7553 9.1881
Mn 8.6834 7.5314 9.1963
Mn 10.2537 3.7585 3.0584
Mn 10.5461 7.5281 3.0502
Mn 12.6002 3.7334 0.0399
F 0.2288 7.0890 9.0473
F 0.7036 5.2740 0.8607
F 0.7348 5.3933 5.3960
F 0.9406 4.3451 10.5762
F 1.2077 4.4392 7.8726
F 1.3087 2.6058 0.7912
F 1.4395 2.0455 9.0950
F 1.4744 2.7909 5.5470
F 1.9320 0.0705 11.0871
F 2.1276 7.5000 7.2876
F 2.4451 4.3443 3.1093
F 2.5124 7.2701 1.6332
F 2.7986 7.0251 4.4122
F 3.0430 5.6416 9.4084
F 3.2694 1.8688 3.2705
F 3.5138 3.2523 10.5501
F 3.8000 3.4972 7.7711
F 3.8672 0.5714 9.2471
F 4.1847 3.7272 1.1497
F 4.3804 3.8433 4.9492
F 4.8379 6.5637 11.6849
F 4.8729 5.8183 2.9571
F 5.0037 6.3787 6.9291
F 5.1046 0.6664 1.7347
F 5.3718 0.5723 4.4383
F 5.5775 1.6204 11.5339
F 5.6088 1.5011 6.9986
F 6.0836 3.3161 2.9094
F 6.5412 4.2296 9.0473
F 7.0160 6.0446 0.8607
F 7.0472 5.9253 5.3960
F 7.2529 6.9735 10.5762
F 7.5201 6.8794 7.8726
F 7.6210 1.1671 0.7912
F 7.7518 1.7274 9.0950
F 7.7868 0.9820 5.5470
F 8.2444 3.7024 11.0871
F 8.4400 3.8186 7.2876
F 8.7575 6.9743 3.1093
F 8.8248 4.0485 1.6332
F 9.1110 4.2934 4.4122
F 9.3554 5.6769 9.4084
F 9.5817 1.9041 3.2705
F 9.8262 0.5206 10.5501
F 10.1123 0.2756 7.7711
F 10.1796 3.2014 9.2471
F 10.4971 0.0457 1.1497
F 10.6928 7.4753 4.9492
F 11.1503 4.7549 11.6849
F 11.1853 5.5003 2.9571
F 11.3161 4.9399 6.9291
F 11.4170 3.1065 1.7347
F 11.6842 3.2006 4.4383
F 11.8899 2.1525 11.5339
F 11.9211 2.2718 6.9986
F 12.3960 0.4567 2.9094
```

Values from the calculation:
**Symmetry**: Pna2_1, No. 33
**V**: 13.289 Å³/atom

=====

## B
Computed, not measured: Na5Mn3F14 after structural relaxation at the GGA+U level of DFT.

Structure (extended XYZ):
```
88
Lattice="9.7792 0.0000 0.0000 0.0000 11.0270 0.0000 0.0000 0.0000 11.5245" Properties=species:S:1:pos:R:3 pbc="T T T"
Na 1.0315 0.8161 0.1959
Na 1.2075 8.0341 0.3860
Na 1.2402 0.9109 7.7485
Na 1.5087 7.8982 8.1219
Na 1.8898 4.7438 11.0802
Na 2.9998 6.2832 5.3179
Na 3.3809 3.1289 2.3596
Na 3.6494 10.1161 1.9863
Na 3.6821 2.9929 6.1483
Na 3.8581 10.2109 5.9582
Na 5.9211 4.6974 11.3286
Na 6.0971 8.5065 11.1385
Na 6.1298 4.6026 3.7760
Na 6.3983 8.6424 3.4027
Na 6.7794 0.7697 0.4444
Na 7.8894 10.2574 6.2066
Na 8.2704 2.3846 9.1649
Na 8.5390 6.4244 9.5382
Na 8.5717 2.5206 5.3762
Na 8.7477 6.3296 5.5664
Mn 0.5409 8.6075 3.6958
Mn 1.0529 4.4137 7.9963
Mn 1.2934 0.6131 4.3443
Mn 3.5962 10.4139 10.1066
Mn 3.8367 6.6134 2.2341
Mn 4.3487 2.4196 9.4580
Mn 5.4305 7.9331 7.8288
Mn 5.9425 1.0999 3.5282
Mn 6.1830 4.9004 7.1802
Mn 8.4858 6.1266 1.4179
Mn 8.7263 9.9272 9.2905
Mn 9.2383 3.0939 2.0665
F 0.0235 2.9525 7.3080
F 0.0463 6.0440 0.1151
F 0.0575 0.6269 9.7098
F 0.2278 4.0144 9.6417
F 0.2584 10.3033 2.9161
F 0.4904 2.2694 3.7907
F 0.9276 7.1139 4.7339
F 1.1629 3.1510 1.1775
F 1.8380 9.8187 4.8941
F 1.9803 4.5556 6.3681
F 2.1347 5.6637 8.8959
F 2.1344 8.2995 2.6393
F 2.2941 9.9020 0.0815
F 2.3894 10.1748 8.7068
F 2.5002 0.8523 2.9446
F 2.5955 1.1251 5.8437
F 2.7552 2.7276 8.4016
F 2.7549 5.3633 3.1336
F 2.9093 6.4714 0.6058
F 3.0515 1.2084 10.6563
F 3.7267 7.8760 6.9397
F 3.9620 3.9132 10.4961
F 4.3992 8.7576 9.5529
F 4.6312 0.7237 8.6783
F 4.6618 7.0127 3.8794
F 4.8321 10.4001 3.9476
F 4.8433 4.9830 5.8773
F 4.8661 8.0746 1.5457
F 4.9131 2.5610 4.2166
F 4.9359 10.4965 11.4095
F 4.9471 4.8866 1.8147
F 5.1174 1.4991 1.8828
F 5.1480 6.2372 8.6085
F 5.3800 3.2441 7.7339
F 5.8172 9.4267 6.7906
F 6.0525 2.3625 10.3471
F 6.7276 6.7219 6.6305
F 6.8698 0.9579 5.1565
F 7.0240 8.2411 8.8852
F 7.0243 10.8769 2.6286
F 7.1837 6.6386 11.4431
F 7.2790 6.3658 2.8177
F 7.3898 4.6612 8.5799
F 7.4851 4.3884 5.6808
F 7.6445 0.1502 8.3909
F 7.6448 2.7860 3.1229
F 7.7989 10.0691 10.9187
F 7.9411 4.3051 0.8682
F 8.6163 8.6645 4.5848
F 8.8516 1.6004 1.0284
F 9.2888 7.7829 1.9716
F 9.5208 4.7898 2.8462
F 9.5514 9.5279 7.6451
F 9.7216 6.1405 7.5770
F 9.7329 0.5305 5.6472
F 9.7557 8.4660 9.9788
```

Values from the calculation:
**Fermi-level density of states**: 0.00 states/eV/cell
**Symmetry**: P2_12_12_1, No. 19
**V**: 14.122 Å³/atom

=====

The least stable of them is B.

=====

## A
Computed, not measured: Na2Mn2F7 after structural relaxation at the GGA+U level of DFT.

Structure (extended XYZ):
```
11
Lattice="5.4418 0.0000 0.0000 1.3554 5.3604 0.0000 0.5060 1.0043 5.5979" Properties=species:S:1:pos:R:3 pbc="T T T"
Na 0.0000 0.0000 0.0000
Na 3.4613 3.4786 4.9640
Mn 3.0940 0.9055 2.8216
Mn 5.8563 2.5968 2.1137
F 1.0200 3.1871 0.3053
F 1.3022 0.7137 1.7289
F 2.2940 2.6666 3.1664
F 3.7758 5.6685 4.4833
F 4.0256 1.5923 1.2321
F 5.1656 4.5196 2.4877
F 4.8258 1.8758 3.7956
```

Values from the calculation:
**Symmetry**: P1, No. 1
**V**: 14.845 Å³/atom

=====

## B
Computed, not measured: Na2Mn2F7 after structural relaxation at the GGA+U level of DFT.

Structure (extended XYZ):
```
11
Lattice="-1.6414 5.7158 3.4987 1.6414 -5.7158 3.4987 1.6414 5.7158 -3.4987" Properties=species:S:1:pos:R:3 pbc="T T T"
Na 0.0000 2.8466 0.0000
Na 0.0000 8.5849 0.0000
Mn 0.0000 0.0000 1.9542
Mn 0.0000 5.7158 1.7889
F 1.6414 -1.2988 1.5542
F 1.6414 1.2988 1.5542
F 1.6414 4.5286 0.2778
F 0.0000 1.1872 3.7765
F 0.0000 3.8422 2.1587
F 0.0000 0.0000 6.5225
F 0.0000 7.5894 2.1587
```

Values from the calculation:
**Fermi-level density of states**: 3.25 states/eV/cell
**Symmetry**: Imm2, No. 44
**V**: 11.936 Å³/atom

=====

The least stable of them is B.